Pm2Cu3Ag2: optimized geometry, PBE.

a b c (Å): 4.506 5.567 6.633
angles (deg): 110.60 90.00 113.87
Fractional positions:
Pm (0.847, 0.694, 0.255)
Pm (0.153, 0.306, 0.745)
Cu (0.500, 0.000, 0.000)
Cu (0.587, 0.174, 0.409)
Cu (0.413, 0.826, 0.591)
Ag (0.864, 0.727, 0.779)
Ag (0.136, 0.273, 0.221)

Computed properties:
Formation enthalpy at 0 K: -160 meV/atom